Entry 1:
! ZrCdGa2Os (PBE-GGA, optimized geometry); values from VASP
! - calculated formation energy (meV/atom) = 480
! - E (eV/atom) = -4.87
! - space group = P4/mmm (123)
! - M_tot (μB/f.u.) = 0.3
&SYSTEM
  ibrav = 0, nat = 5, ntyp = 4
/
ATOMIC_SPECIES
Ga 69.72 Ga.upf
Os 190.23 Os.upf
Zr 91.22 Zr.upf
Cd 112.41 Cd.upf
CELL_PARAMETERS angstrom
-4.389 -1.615 0.257
0.981 -3.271 -3.818
1.368 -3.222 3.112
ATOMIC_POSITIONS crystal
Ga 0.500 0.000 0.000
Os 0.000 0.000 0.000
Zr 0.500 0.500 0.500
Cd 0.000 0.500 0.000
Ga 0.000 0.000 0.500

Entry 2:
! ZrCdGa2Os (PBE-GGA, optimized geometry); values from VASP
! - calculated formation energy (meV/atom) = 1472
! - E (eV/atom) = -3.88
! - space group = P4/mmm (123)
! - M_tot (μB/f.u.) = 0.7
&SYSTEM
  ibrav = 0, nat = 5, ntyp = 4
/
ATOMIC_SPECIES
Ga 69.72 Ga.upf
Zr 91.22 Zr.upf
Cd 112.41 Cd.upf
Os 190.23 Os.upf
CELL_PARAMETERS angstrom
4.652 0.000 0.000
0.000 5.412 0.000
0.000 0.000 4.652
ATOMIC_POSITIONS crystal
Ga 0.000 0.000 0.500
Ga 0.500 0.000 0.000
Zr 0.000 0.500 0.000
Cd 0.000 0.000 0.000
Os 0.500 0.500 0.500

Entry 3:
! CdGa3P (PBE-GGA, optimized geometry); values from VASP
! - calculated formation energy (meV/atom) = 278
! - E (eV/atom) = -2.80
! - space group = Pm-3m (221)
! - M_tot (μB/f.u.) = 0.0
&SYSTEM
  ibrav = 0, nat = 5, ntyp = 3
/
ATOMIC_SPECIES
Ga 69.72 Ga.upf
Cd 112.41 Cd.upf
P 30.97 P.upf
CELL_PARAMETERS angstrom
4.860 0.000 0.000
0.000 4.860 0.000
0.000 0.000 4.860
ATOMIC_POSITIONS crystal
Ga 0.500 0.000 0.000
Ga 0.000 0.500 0.000
Ga 0.000 0.000 0.500
Cd 0.500 0.500 0.500
P 0.000 0.000 0.000

Entry 4:
! Cd2GaP2 (PBE-GGA, optimized geometry); values from VASP
! - calculated formation energy (meV/atom) = 196
! - E (eV/atom) = -2.94
! - space group = I4/mmm (139)
! - M_tot (μB/f.u.) = 0.0
&SYSTEM
  ibrav = 0, nat = 5, ntyp = 3
/
ATOMIC_SPECIES
P 30.97 P.upf
Cd 112.41 Cd.upf
Ga 69.72 Ga.upf
CELL_PARAMETERS angstrom
3.384 0.000 0.000
0.000 3.384 0.000
1.692 1.692 8.791
ATOMIC_POSITIONS crystal
P 0.750 0.250 0.500
Cd 0.604 0.604 0.791
Ga 0.000 0.000 0.000
Cd 0.396 0.396 0.209
P 0.250 0.750 0.500

Entry 5:
! CdGa3P (PBE-GGA, optimized geometry); values from VASP
! - calculated formation energy (meV/atom) = 747
! - E (eV/atom) = -2.33
! - space group = Pm-3m (221)
! - M_tot (μB/f.u.) = 0.0
&SYSTEM
  ibrav = 0, nat = 5, ntyp = 3
/
ATOMIC_SPECIES
Ga 69.72 Ga.upf
Cd 112.41 Cd.upf
P 30.97 P.upf
CELL_PARAMETERS angstrom
5.066 0.000 0.000
0.000 5.066 0.000
0.000 0.000 5.066
ATOMIC_POSITIONS crystal
Ga 0.500 0.000 0.000
Ga 0.000 0.500 0.000
Cd 0.000 0.000 0.000
Ga 0.000 0.000 0.500
P 0.500 0.500 0.500

Entry 6:
! Cd2GaP2 (PBE-GGA, optimized geometry); values from VASP
! - calculated formation energy (meV/atom) = 246
! - E (eV/atom) = -2.89
! - space group = P4/mbm (127)
! - M_tot (μB/f.u.) = 0.0
&SYSTEM
  ibrav = 0, nat = 10, ntyp = 3
/
ATOMIC_SPECIES
P 30.97 P.upf
Ga 69.72 Ga.upf
Cd 112.41 Cd.upf
CELL_PARAMETERS angstrom
-2.018 -4.362 5.370
5.948 1.764 3.668
-1.939 2.996 1.705
ATOMIC_POSITIONS crystal
P 0.687 0.187 0.000
P 0.813 0.687 0.000
Ga 0.000 0.000 0.000
Cd 0.639 0.861 0.500
P 0.187 0.313 0.000
Ga 0.500 0.500 0.000
Cd 0.361 0.139 0.500
P 0.313 0.813 0.000
Cd 0.139 0.639 0.500
Cd 0.861 0.361 0.500

Entry 7:
! CdGaP (PBE-GGA, optimized geometry); values from VASP
! - calculated formation energy (meV/atom) = 39
! - E (eV/atom) = -3.08
! - space group = C2/m (12)
! - M_tot (μB/f.u.) = 0.0
&SYSTEM
  ibrav = 0, nat = 6, ntyp = 3
/
ATOMIC_SPECIES
P 30.97 P.upf
Cd 112.41 Cd.upf
Ga 69.72 Ga.upf
CELL_PARAMETERS angstrom
3.828 -0.031 0.560
1.885 3.332 0.560
2.939 1.698 10.976
ATOMIC_POSITIONS crystal
P 0.247 0.247 0.520
Cd 0.280 0.280 0.064
Ga 0.639 0.639 0.445
Ga 0.115 0.115 0.862
Cd 0.473 0.473 0.244
P 0.506 0.506 0.788

Entry 8:
! CdGa2PPd (PBE-GGA, optimized geometry); values from VASP
! - calculated formation energy (meV/atom) = 878
! - E (eV/atom) = -2.64
! - space group = P4/mmm (123)
! - M_tot (μB/f.u.) = 0.0
&SYSTEM
  ibrav = 0, nat = 5, ntyp = 4
/
ATOMIC_SPECIES
Pd 106.42 Pd.upf
P 30.97 P.upf
Cd 112.41 Cd.upf
Ga 69.72 Ga.upf
CELL_PARAMETERS angstrom
-1.633 0.188 -4.659
4.684 -0.983 -1.681
-0.966 -4.843 0.143
ATOMIC_POSITIONS crystal
Pd 0.000 0.500 0.000
P 0.500 0.500 0.500
Cd 0.000 0.000 0.000
Ga 0.000 0.000 0.500
Ga 0.500 0.000 0.000

Entry 9:
! Cd2GaPPt6 (PBE-GGA, optimized geometry); values from VASP
! - calculated formation energy (meV/atom) = -291
! - E (eV/atom) = -4.94
! - space group = Pmmn (59)
! - M_tot (μB/f.u.) = 0.0
&SYSTEM
  ibrav = 0, nat = 20, ntyp = 4
/
ATOMIC_SPECIES
Ga 69.72 Ga.upf
Cd 112.41 Cd.upf
Pt 195.08 Pt.upf
P 30.97 P.upf
CELL_PARAMETERS angstrom
-5.106 -2.061 -0.580
2.671 -5.043 -5.589
1.660 -5.809 6.036
ATOMIC_POSITIONS crystal
Ga 0.500 0.290 0.000
Cd 0.000 0.307 0.217
Pt 0.500 0.116 0.747
Pt 0.251 0.019 0.000
Pt 0.000 0.884 0.753
Pt 0.757 0.450 0.500
Pt 0.243 0.450 0.500
Cd 0.500 0.693 0.717
Pt 0.749 0.019 0.000
Pt 0.000 0.884 0.247
P 0.500 0.228 0.500
Cd 0.000 0.307 0.783
Pt 0.751 0.981 0.500
P 0.000 0.772 0.000
Ga 0.000 0.710 0.500
Pt 0.249 0.981 0.500
Pt 0.500 0.116 0.253
Cd 0.500 0.693 0.283
Pt 0.743 0.550 0.000
Pt 0.257 0.550 0.000

Entry 10:
! SrCdGaP2 (PBE-GGA, optimized geometry); values from VASP
! - calculated formation energy (meV/atom) = -333
! - E (eV/atom) = -3.62
! - space group = P2/c (13)
! - M_tot (μB/f.u.) = 0.0
&SYSTEM
  ibrav = 0, nat = 10, ntyp = 4
/
ATOMIC_SPECIES
Sr 87.62 Sr.upf
P 30.97 P.upf
Cd 112.41 Cd.upf
Ga 69.72 Ga.upf
CELL_PARAMETERS angstrom
4.971 0.000 0.000
0.000 6.687 0.635
0.000 -1.347 7.419
ATOMIC_POSITIONS crystal
Sr 0.769 0.500 0.250
P 0.738 0.264 0.589
Cd 0.542 0.000 0.250
P 0.262 0.736 0.411
Ga 0.000 0.000 0.500
Sr 0.231 0.500 0.750
P 0.738 0.736 0.911
Cd 0.458 0.000 0.750
Ga 0.000 0.000 0.000
P 0.262 0.264 0.089

Entry 11:
! CdGaTc2P (PBE-GGA, optimized geometry); values from VASP
! - calculated formation energy (meV/atom) = 2025
! - E (eV/atom) = -3.99
! - space group = P4/mmm (123)
! - M_tot (μB/f.u.) = 6.7
&SYSTEM
  ibrav = 0, nat = 5, ntyp = 4
/
ATOMIC_SPECIES
Tc 98.00 Tc.upf
Cd 112.41 Cd.upf
P 30.97 P.upf
Ga 69.72 Ga.upf
CELL_PARAMETERS angstrom
-1.568 -4.185 -2.513
3.623 0.436 -2.986
2.882 -2.924 3.071
ATOMIC_POSITIONS crystal
Tc 0.000 0.000 0.500
Tc 0.500 0.000 0.000
Cd 0.000 0.000 0.000
P 0.500 0.500 0.500
Ga 0.000 0.500 0.000

Entry 12:
! TiCd2GaP (PBE-GGA, optimized geometry); values from VASP
! - calculated formation energy (meV/atom) = 1068
! - E (eV/atom) = -2.56
! - space group = P4/mmm (123)
! - M_tot (μB/f.u.) = 0.0
&SYSTEM
  ibrav = 0, nat = 5, ntyp = 4
/
ATOMIC_SPECIES
Ga 69.72 Ga.upf
P 30.97 P.upf
Cd 112.41 Cd.upf
Ti 47.87 Ti.upf
CELL_PARAMETERS angstrom
5.265 0.000 0.000
0.000 4.984 0.000
0.000 0.000 5.265
ATOMIC_POSITIONS crystal
Ga 0.000 0.500 0.000
P 0.500 0.500 0.500
Cd 0.000 0.000 0.500
Ti 0.000 0.000 0.000
Cd 0.500 0.000 0.000